Entry 1:
# TlZn2W

An optimized crystal structure of TlZn2W (GGA-PBEsol, the Alexandria database).

The energy of formation from the pure elements comes out at 0.57 eV/atom. For the polymorph energy (0 for the lowest one), the calculation gives 42.1 meV/atom.

CIF file:
```
data_TlZn2W
_symmetry_space_group_name_H-M 'P 4/m m m'
_symmetry_Int_Tables_number 123
_symmetry_space_group_name_Hall '-P 4 2'
_cell_length_a 4.1053
_cell_length_b 4.1053
_cell_length_c 3.8152
_cell_angle_alpha 90.00
_cell_angle_beta 90.00
_cell_angle_gamma 90.00
loop_
_atom_site_label
_atom_site_fract_x
_atom_site_fract_y
_atom_site_fract_z
Tl1 0.0000 0.0000 0.0000
Zn1 0.0000 0.5000 0.5000
W1 0.5000 0.5000 0.0000
```


Entry 2:
# Tl2ZnW

An optimized crystal structure of Tl2ZnW (GGA-PBEsol, the Alexandria database).

The energy of formation from the pure elements comes out at 0.79 eV/atom. For the polymorph energy (0 for the lowest one), the calculation gives 0.0 meV/atom.

CIF file:
```
data_Tl2ZnW
_symmetry_space_group_name_H-M 'P 4/m m m'
_symmetry_Int_Tables_number 123
_symmetry_space_group_name_Hall '-P 4 2'
_cell_length_a 5.1484
_cell_length_b 5.1484
_cell_length_c 2.9237
_cell_angle_alpha 90.00
_cell_angle_beta 90.00
_cell_angle_gamma 90.00
loop_
_atom_site_label
_atom_site_fract_x
_atom_site_fract_y
_atom_site_fract_z
Tl1 0.0000 0.5000 0.0000
Zn1 0.0000 0.0000 0.5000
W1 0.5000 0.5000 0.5000
```


Entry 3:
# TlZnW2

An optimized crystal structure of TlZnW2 (GGA-PBEsol, the Alexandria database).

The energy of formation from the pure elements comes out at 0.52 eV/atom. For the polymorph energy (0 for the lowest one), the calculation gives 0.0 meV/atom.

CIF file:
```
data_TlZnW2
_symmetry_space_group_name_H-M 'P 4 m m'
_symmetry_Int_Tables_number 99
_symmetry_space_group_name_Hall 'P 4 -2'
_cell_length_a 3.3128
_cell_length_b 3.3128
_cell_length_c 6.2123
_cell_angle_alpha 90.00
_cell_angle_beta 90.00
_cell_angle_gamma 90.00
loop_
_atom_site_label
_atom_site_fract_x
_atom_site_fract_y
_atom_site_fract_z
Tl1 0.0000 0.0000 0.0000
Zn1 0.5000 0.5000 0.7412
W1 0.0000 0.0000 0.5066
W2 0.5000 0.5000 0.3074
```


- Look up the energy of formation from the pure elements of the second one.
  0.79 eV/atom